Density functional theory data (PBE) for ZrRe3Pt after structural relaxation. Values from VASP.

magnetization: 0.000 μB per atom
energy of formation from the pure elements: 2646 meV per atom
VASP energy: -0.284 Ha/atom
space group: Pm-3m, No. 221
offset from the most stable computed form: 359 kJ/mol of formula units

```
&SYSTEM
  ibrav = 0, nat = 5, ntyp = 3
/
ATOMIC_SPECIES
Zr 91.22 Zr.upf
Re 186.21 Re.upf
Pt 195.08 Pt.upf
ATOMIC_POSITIONS crystal
Zr 0.000 0.000 0.000
Re 0.000 0.000 0.500
Re 0.000 0.500 0.000
Re 0.500 0.000 0.000
Pt 0.500 0.500 0.500
CELL_PARAMETERS angstrom
4.703 0.000 0.000
0.000 4.703 0.000
0.000 0.000 4.703
```